An optimized crystal structure of NbAl3Pd, computed with PBE.

Unit cell a=4.602 b=4.602 c=4.602 alpha=90.00 beta=90.00 gamma=90.00
Positions (direct):
Pd (0.000, 0.000, 0.000)
Al (0.000, 0.500, 0.000)
Al (0.000, 0.000, 0.500)
Al (0.500, 0.000, 0.000)
Nb (0.500, 0.500, 0.500)

Summary:
* ΔH_f (0 K): 384.6 meV/atom
* offset from the most stable computed form: 0.0000 eV per atom
* DOS at the Fermi energy: 3.269 states/eV/f.u.
* V: 97.5 Å³ per cell
* spin magnetization: 0.000 μB/atom
* symmetry: Pm-3m